Entry from Alexandria via LeMat-Bulk: a relaxed structure of LiPr2Ni4Sb3 (PBE).

Output
Size of the total moment (Bohr magnetons per cell): 0.000
Calculated volume (Å³ per cell): 193.0
E_form (uncorrected) (eV per atom): -0.629

abc: 4.3733 4.3733 10.0931
angles: 90.00 90.00 90.00
Space group P-4m2 (No. 115)
One atom of each set of equivalent atoms:
Li 0.0000 0.0000 0.0000 (multiplicity 1)
Pr 0.0000 0.5000 0.7424 (multiplicity 2)
Ni 0.0000 0.0000 0.5000 (multiplicity 1)
Ni 0.0000 0.5000 0.1217 (multiplicity 2)
Ni 0.5000 0.5000 0.5000 (multiplicity 1)
Sb 0.0000 0.5000 0.3677 (multiplicity 2)
Sb 0.5000 0.5000 0.0000 (multiplicity 1)